# 1
Computed, not measured: crystalline DyThAgSn at its relaxed geometry at the GGA-PBE level of DFT.

Properties
crystal system: cubic
E_form: -0.3585 eV/atom

The structure in POSCAR format:
```
DyThAgSn
1.0
0.000 3.761 3.761
3.761 0.000 3.761
3.761 3.761 0.000
Dy Th Ag Sn
1 1 1 1
Direct
0.000 0.000 0.000
0.500 0.500 0.500
0.750 0.750 0.750
0.250 0.250 0.250
```



# 2
Computed, not measured: crystalline CaPmNdTh at its relaxed geometry at the GGA-PBE level of DFT.

Properties
energy above the lowest structure with this stoichiometry: 0.0000 eV per atom
crystal system: tetragonal
E_form: 0.0355 eV/atom

The structure in POSCAR format:
```
CaPmNdTh
1.0
3.680 0.000 0.000
0.000 3.680 0.000
0.000 0.000 10.557
Ca Pm Nd Th
1 1 1 1
Direct
0.000 0.000 0.000
0.500 0.500 0.728
0.500 0.500 0.275
0.000 0.000 0.502
```



# 3
Computed, not measured: crystalline SbPtSe2 at its relaxed geometry at the GGA-PBE level of DFT.

Properties
crystal system: trigonal
formation energy (no corrections): -2.70 kcal/mol of atoms

The structure in POSCAR format:
```
SbPtSe2
1.0
1.871 1.080 8.497
-1.871 1.080 8.497
0.000 -2.160 8.497
Sb Pt Se
1 1 2
Direct
0.000 0.000 0.000
0.500 0.500 0.500
0.114 0.114 0.114
0.886 0.886 0.886
```



# 4
Computed, not measured: crystalline La5Dy5Y2 at its relaxed geometry at the GGA-PBE level of DFT.

Properties
crystal system: monoclinic
E_form: 0.0286 eV/atom

The structure in POSCAR format:
```
La5Dy5Y2
1.0
7.745 -2.569 0.000
7.745 2.569 0.000
-5.150 0.000 10.229
La Dy Y
5 5 2
Direct
0.000 0.000 0.000
0.082 0.082 0.749
0.248 0.248 0.250
0.752 0.752 0.750
0.918 0.918 0.251
0.333 0.333 0.000
0.416 0.416 0.747
0.500 0.500 0.500
0.584 0.584 0.253
0.667 0.667 0.000
0.166 0.166 0.499
0.834 0.834 0.501
```



Please write out number 3 again, unchanged.
Computed, not measured: crystalline SbPtSe2 at its relaxed geometry at the GGA-PBE level of DFT.

Properties
crystal system: trigonal
formation energy (no corrections): -2.70 kcal/mol of atoms

The structure in POSCAR format:
```
SbPtSe2
1.0
1.871 1.080 8.497
-1.871 1.080 8.497
0.000 -2.160 8.497
Sb Pt Se
1 1 2
Direct
0.000 0.000 0.000
0.500 0.500 0.500
0.114 0.114 0.114
0.886 0.886 0.886
```